## PmDyMgAu (PBE)

Data for a relaxed PmDyMgAu crystal.

Cell: 5.259 5.259 5.259 Å, 60.00 60.00 60.00°
Fractional coordinates of all 4 atoms:
1 Mg 0.500 0.500 0.500
2 Pm 0.750 0.750 0.750
3 Au 0.000 0.000 0.000
4 Dy 0.250 0.250 0.250

Polymorph energy (0 for the lowest one): 68 meV per atom

=====

## PmDyMgAu (PBE)

Data for a relaxed PmDyMgAu crystal.

Cell: 3.740 3.740 7.380 Å, 90.00 90.00 90.00°
Fractional coordinates of all 4 atoms:
1 Pm 0.000 0.000 0.868
2 Dy 0.000 0.000 0.339
3 Mg 0.500 0.500 0.596
4 Au 0.500 0.500 0.125

Polymorph energy (0 for the lowest one): 0 meV per atom

=====

## PmDy2MgAu4 (PBE)

Data for a relaxed PmDy2MgAu4 crystal.

Cell: 5.020 5.020 8.812 Å, 73.45 73.45 60.00°
Fractional coordinates of all 8 atoms:
1 Pm 0.000 0.000 0.000
2 Dy 0.756 0.756 0.731
3 Dy 0.244 0.244 0.269
4 Mg 0.500 0.500 0.500
5 Au 0.382 0.382 0.854
6 Au 0.877 0.877 0.370
7 Au 0.123 0.123 0.630
8 Au 0.618 0.618 0.146

E_tot: -4.367 eV/atom

=====

## PrDyMgAu (PBE)

Data for a relaxed PrDyMgAu crystal.

Cell: 5.300 5.300 5.300 Å, 60.00 60.00 60.00°
Fractional coordinates of all 4 atoms:
1 Pr 0.250 0.250 0.250
2 Mg 0.500 0.500 0.500
3 Au 0.000 0.000 0.000
4 Dy 0.750 0.750 0.750

Polymorph energy (0 for the lowest one): 76 meV per atom

=====

## PrDy2MgAu4 (PBE)

Data for a relaxed PrDy2MgAu4 crystal.

Cell: 5.016 5.016 8.957 Å, 73.74 73.74 60.00°
Fractional coordinates of all 8 atoms:
1 Pr 0.000 0.000 0.000
2 Dy 0.759 0.759 0.724
3 Dy 0.241 0.241 0.276
4 Mg 0.500 0.500 0.500
5 Au 0.387 0.387 0.838
6 Au 0.877 0.877 0.370
7 Au 0.123 0.123 0.630
8 Au 0.613 0.613 0.162

E_tot: -4.357 eV/atom

=====

## PrDyMgAu (PBE)

Data for a relaxed PrDyMgAu crystal.

Cell: 3.760 3.760 7.464 Å, 90.00 90.00 90.00°
Fractional coordinates of all 4 atoms:
1 Pr 0.000 0.000 0.866
2 Dy 0.000 0.000 0.337
3 Mg 0.500 0.500 0.590
4 Au 0.500 0.500 0.134

Polymorph energy (0 for the lowest one): 0 meV per atom

=====

## DyPuMg2Au4 (PBE)

Data for a relaxed DyPuMg2Au4 crystal.

Cell: 4.946 4.946 8.553 Å, 73.19 73.19 60.00°
Fractional coordinates of all 8 atoms:
1 Dy 0.500 0.500 0.500
2 Pu 0.000 0.000 0.000
3 Mg 0.750 0.750 0.751
4 Mg 0.250 0.250 0.249
5 Au 0.377 0.377 0.868
6 Au 0.873 0.873 0.382
7 Au 0.127 0.127 0.618
8 Au 0.623 0.623 0.132

E_tot: -5.025 eV/atom

=====

## DyMg2ScAu4 (PBE)

Data for a relaxed DyMg2ScAu4 crystal.

Cell: 4.803 4.803 8.410 Å, 73.41 73.41 60.00°
Fractional coordinates of all 8 atoms:
1 Dy 0.000 0.000 0.000
2 Mg 0.752 0.752 0.744
3 Mg 0.248 0.248 0.256
4 Sc 0.500 0.500 0.500
5 Au 0.381 0.381 0.858
6 Au 0.872 0.872 0.385
7 Au 0.128 0.128 0.615
8 Au 0.619 0.619 0.142

E_tot: -4.170 eV/atom

=====

## DyMgSiAu (PBE)

Data for a relaxed DyMgSiAu crystal.

Cell: 4.870 4.870 4.870 Å, 60.00 60.00 60.00°
Fractional coordinates of all 4 atoms:
1 Si 0.750 0.750 0.750
2 Au 0.250 0.250 0.250
3 Mg 0.500 0.500 0.500
4 Dy 0.000 0.000 0.000

E_form (uncorrected): -0.5421 eV per atom

=====

## Dy2MgSi3Au4 (PBE)

Data for a relaxed Dy2MgSi3Au4 crystal.

Cell: 4.218 4.218 10.873 Å, 90.00 90.00 90.00°
Fractional coordinates of all 10 atoms:
1 Dy 0.500 0.000 0.231
2 Dy 0.000 0.500 0.769
3 Mg 0.500 0.500 0.500
4 Si 0.000 0.000 0.500
5 Si 0.500 0.000 0.863
6 Si 0.000 0.500 0.137
7 Au 0.500 0.500 0.000
8 Au 0.000 0.000 0.000
9 Au 0.500 0.000 0.642
10 Au 0.000 0.500 0.358

E_form (uncorrected): -0.5921 eV per atom

=====

## DyMgSnAu (PBE)

Data for a relaxed DyMgSnAu crystal.

Cell: 5.060 5.060 5.060 Å, 60.00 60.00 60.00°
Fractional coordinates of all 4 atoms:
1 Mg 0.500 0.500 0.500
2 Au 0.750 0.750 0.750
3 Sn 0.250 0.250 0.250
4 Dy 0.000 0.000 0.000

E_tot: -3.970 eV/atom

=====

## SrDy2MgAu4 (PBE)

Data for a relaxed SrDy2MgAu4 crystal.

Cell: 5.005 5.005 9.237 Å, 74.28 74.28 60.00°
Fractional coordinates of all 8 atoms:
1 Sr 0.000 0.000 0.000
2 Dy 0.762 0.762 0.715
3 Dy 0.238 0.238 0.285
4 Mg 0.500 0.500 0.500
5 Au 0.394 0.394 0.817
6 Au 0.875 0.875 0.376
7 Au 0.125 0.125 0.624
8 Au 0.606 0.606 0.183

E_tot: -3.943 eV/atom